5
Lattice="4.650 0.000 0.000 0.000 4.650 0.000 0.000 0.000 5.588" Properties=species:S:1:pos:R:3 comment="CaBiAsIr2 | Alexandria via LeMat-Bulk | PBE-GGA | optimized geometry" final_energy_ev_per_atom=-5.27 sg="No. 123" formation_energy_ev_per_atom=0.38 total_magnetization_mub_per_cell=0.00 pbc="T T T"
Ca 0.000 0.000 0.000
Bi 2.325 2.325 0.000
As 2.325 2.325 2.794
Ir 0.000 2.325 2.794
Ir 2.325 0.000 2.794